[1]
A plane-wave DFT calculation with PBE was carried out for a relaxed structure of AcHo2CdHg4.

Output
The formation energy comes out at -389 meV per atom.

Geometry as extended XYZ:
```
8
Lattice="-3.2478 2.2339 3.2287 0.9494 -0.0438 5.0060 4.1225 9.0719 1.8908" Properties=species:S:1:pos:R:3 pbc="T T T"
Cd 0.9121 5.6310 5.0628
Hg 2.2946 5.9528 2.2102
Hg -0.6928 2.8925 5.3431
Hg 2.5169 8.3695 4.7824
Hg -0.4705 5.3091 7.9154
Ho 0.6941 3.2218 2.4898
Ho 1.1300 8.0402 7.6357
Ac 0.0000 0.0000 0.0000
```

[2]
A plane-wave DFT calculation with PBE was carried out for a relaxed structure of Cs3SmPu2O9.

Output
The formation energy without anion corrections comes out at -36.66 eV per formula unit.

Geometry as extended XYZ:
```
15
Lattice="6.2507 0.0000 0.0000 -3.1253 5.4133 0.0000 0.0000 0.0000 7.6650" Properties=species:S:1:pos:R:3 pbc="T T T"
O 4.5695 0.9706 5.2430
O 1.5627 2.7066 0.0000
O 3.1253 0.0000 0.0000
O -1.5627 2.7066 0.0000
O 1.6812 0.9706 5.2430
O 1.4442 4.4426 2.4221
O -1.4442 4.4426 2.4221
O 0.0000 1.9413 2.4221
O 3.1253 3.4720 5.2430
Cs 0.0000 0.0000 0.0000
Cs 0.0000 3.6088 5.0781
Cs 3.1254 1.8044 2.5869
Sm 0.0000 0.0000 3.8325
Pu 0.0000 3.6088 1.2330
Pu 3.1254 1.8044 6.4320
```

[3]
A plane-wave DFT calculation with PBE was carried out for a relaxed structure of NaCaTl2F6.

Output
The formation energy without anion corrections comes out at -25.41 eV per formula unit.

Geometry as extended XYZ:
```
20
Lattice="6.1158 0.0000 -0.0733 0.0000 6.3509 0.0000 -0.0506 0.0000 8.7703" Properties=species:S:1:pos:R:3 pbc="T T T"
F 1.8432 4.5321 0.6398
F 1.2564 1.2691 0.5431
F 1.7761 4.4446 3.8054
F 4.8757 4.9943 4.9884
F 4.2219 1.8188 8.0572
F 4.2890 1.9064 4.8916
F 2.2199 5.9670 6.6069
F 3.8453 0.3839 2.0901
F 0.7621 2.7916 6.5119
F 1.1894 1.3567 3.7087
F 4.8087 5.0818 8.1539
F 5.3031 3.5594 2.1851
Na 3.0326 0.0000 4.3485
Na 0.0000 3.1755 0.0000
Tl 0.1312 5.9901 2.1594
Tl 5.9339 0.3608 6.5376
Tl 3.1638 3.5363 6.5079
Tl 2.9013 2.8147 2.1891
Ca -0.0253 3.1755 4.3851
Ca 3.0579 0.0000 -0.0366
```

[4]
A plane-wave DFT calculation with PBE was carried out for a relaxed structure of Ac2SiSbPt6.

Output
The formation energy without anion corrections comes out at -8.94 eV per formula unit.

Geometry as extended XYZ:
```
10
Lattice="-2.2986 -6.5285 -1.6405 -0.7385 -2.0746 6.2858 -5.3310 -0.9610 1.5895" Properties=species:S:1:pos:R:3 pbc="T T T"
Pt -0.7566 -1.9913 1.1886
Pt -1.4270 -2.1437 3.9403
Pt -4.9011 -7.0788 4.2390
Pt -6.9411 -7.4204 2.2945
Pt -7.6115 -7.5728 5.0462
Pt -3.4670 -2.4853 1.9958
Si 0.0000 0.0000 0.0000
Ac -4.6580 -5.6223 1.0161
Ac -3.7101 -3.9419 5.2187
Sb -1.5186 -4.3016 2.3227
```

[5]
A plane-wave DFT calculation with PBE was carried out for a relaxed structure of LiTa2BiPt.

Output
The formation energy comes out at 1093 meV per atom.

Geometry as extended XYZ:
```
5
Lattice="4.9165 0.0000 0.0000 0.0000 5.7009 0.0000 0.0000 0.0000 4.9165" Properties=species:S:1:pos:R:3 pbc="T T T"
Li 2.4583 2.8505 2.4583
Ta 2.4583 0.0000 0.0000
Ta 0.0000 0.0000 2.4583
Bi 0.0000 2.8505 0.0000
Pt 0.0000 0.0000 0.0000
```

[6]
A plane-wave DFT calculation with PBE was carried out for a relaxed structure of AsPt2Au.

Output
The formation energy comes out at 89 meV per atom.

Geometry as extended XYZ:
```
4
Lattice="-2.5517 -4.2352 -1.2517 0.0706 -3.5355 3.6756 -1.1088 4.9771 -0.1166" Properties=species:S:1:pos:R:3 pbc="T T T"
As -1.2405 -3.8853 1.2119
Pt -1.1393 -1.2219 2.3854
Pt 0.0000 0.0000 0.0000
Au -2.4505 -1.5717 -0.0782
```